DFT (PBE) results for TlMoPt2 after structural relaxation.

The space group is Cm (No. 8) and the conventional cell measures 9.250, 2.892 and 5.306 Å, with angles of 90.00, 99.10 and 90.00 degrees. The distinct sites, in fractional coordinates, are Tl at (0.000, 0.000, 0.000), Mo at (0.247, 0.000, 0.687), Pt at (0.006, 0.500, 0.510) and Pt at (0.254, 0.500, 0.243).

The energy above the most stable polymorph in this dataset comes out at 0.66 eV per formula unit. The value obtained for the calculated volume is 17.5 Å³/atom. The spin magnetization comes out at 0.0 μB per formula unit. As for the final energy: -24.82 eV/f.u. The calculated formation energy comes out at 0.114 eV/atom.

DFT (PBE) results for Tl2MoPt after structural relaxation.

The space group is Cmmm (No. 65) and the conventional cell measures 6.296, 8.228 and 3.003 Å, with angles of 90.00, 90.00 and 90.00 degrees. The distinct sites, in fractional coordinates, are Tl at (0.250, 0.250, 0.000), Mo at (0.000, 0.000, 0.500) and Pt at (0.000, 0.500, 0.500).

The energy above the most stable polymorph in this dataset comes out at 1.03 eV per formula unit. The value obtained for the calculated volume is 19.4 Å³/atom. The spin magnetization comes out at 0.0 μB per formula unit. As for the final energy: -19.55 eV/f.u. The calculated formation energy comes out at 0.514 eV/atom.

DFT (PBE) results for TlMoPt2 after structural relaxation.

The space group is C2/m (No. 12) and the conventional cell measures 9.312, 2.926 and 5.160 Å, with angles of 90.00, 97.32 and 90.00 degrees. The distinct sites, in fractional coordinates, are Tl at (0.000, 0.000, 0.000), Mo at (0.000, 0.500, 0.500) and Pt at (0.243, 0.000, 0.726).

The energy above the most stable polymorph in this dataset comes out at 0.88 eV per formula unit. The value obtained for the calculated volume is 17.4 Å³/atom. The spin magnetization comes out at 0.0 μB per formula unit. As for the final energy: -24.60 eV/f.u. The calculated formation energy comes out at 0.170 eV/atom.

DFT (PBE) results for TlMoPt2 after structural relaxation.

The space group is Pmm2 (No. 25) and the conventional cell measures 2.901, 3.881 and 6.250 Å, with angles of 90.00, 90.00 and 90.00 degrees. The distinct sites, in fractional coordinates, are Tl at (0.000, 0.000, 0.000), Mo at (0.500, 0.500, 0.300), Pt at (0.000, 0.000, 0.489) and Pt at (0.500, 0.500, 0.739).

The energy above the most stable polymorph in this dataset comes out at 0.67 eV per formula unit. The value obtained for the calculated volume is 17.6 Å³/atom. The spin magnetization comes out at 0.0 μB per formula unit. As for the final energy: -24.81 eV/f.u. The calculated formation energy comes out at 0.118 eV/atom.

DFT (PBE) results for TlMoPt2 after structural relaxation.

The space group is R-3m (No. 166, hexagonal axes) and the conventional cell measures 2.9296, 2.9296 and 28.6553 Å, with angles of 90.00, 90.00 and 120.00 degrees. The distinct sites, in fractional coordinates, are Tl at (0.0000, 0.0000, 0.0000), Mo at (0.0000, 0.0000, 0.5000) and Pt at (0.0000, 0.0000, 0.2426).

The energy above the most stable polymorph in this dataset comes out at 0.65 eV per formula unit. The value obtained for the calculated volume is 17.7 Å³/atom. The spin magnetization comes out at 0.0 μB per formula unit. As for the final energy: -24.83 eV/f.u. The calculated formation energy comes out at 0.112 eV/atom.

DFT (PBE) results for TlMoPt after structural relaxation.

The space group is P3m1 (No. 156) and the conventional cell measures 2.9864, 2.9864 and 7.1141 Å, with angles of 90.00, 90.00 and 120.00 degrees. The distinct sites, in fractional coordinates, are Tl at (0.0000, 0.0000, 0.0000), Mo at (0.3333, 0.6667, 0.3544) and Pt at (0.6667, 0.3333, 0.6457).

The energy above the most stable polymorph in this dataset comes out at 0.35 eV per formula unit. The value obtained for the calculated volume is 18.3 Å³/atom. The spin magnetization comes out at 0.0 μB per formula unit. As for the final energy: -18.21 eV/f.u. The calculated formation energy comes out at 0.342 eV/atom.

> Look up the calculated volume of the sixth one.

18.3 Å³/atom

> final energy of number 4 (TlMoPt2)?

-24.81 eV/f.u.

> The highest calculated formation energy belongs to which entry?

Tl2MoPt

> Which of these has the highest calculated formation energy?

Tl2MoPt